No. 1
Here is crystalline TaCr2Se at its relaxed geometry from the Alexandria database. Energies are from GGA-PBE.

Size of the total moment = 0.00 μB/cell
Symmetry = Pmmm (47)
Formation energy (no corrections) = 0.244 eV per atom

a b c (Å): 3.767 3.208 6.118
angles (deg): 58.42 90.00 90.00
Element x y z (fractional)
Cr  0.000  0.048  0.952
Cr  0.000  0.452  0.548
Se  0.500  0.250  0.250
Ta  0.500  0.750  0.750



No. 2
Here is crystalline PmYSb at its relaxed geometry from the Alexandria database. Energies are from GGA-PBE.

Size of the total moment = 0.00 μB/cell
Symmetry = P4/nmm (129)
Formation energy (no corrections) = -0.851 eV per atom

a b c (Å): 4.541 4.541 8.647
angles (deg): 90.00 90.00 90.00
Element x y z (fractional)
Pm  0.750  0.250  0.648
Pm  0.250  0.750  0.352
Y  0.750  0.750  0.000
Y  0.250  0.250  0.000
Sb  0.250  0.750  0.727
Sb  0.750  0.250  0.273



No. 3
Here is crystalline LaGaMo3 at its relaxed geometry from the Alexandria database. Energies are from GGA-PBE.

Size of the total moment = 0.00 μB/cell
Symmetry = Pm-3m (221)
E_form = 1.13 eV per atom

a b c (Å): 4.780 4.780 4.780
angles (deg): 90.00 90.00 90.00
Element x y z (fractional)
Mo  0.000  0.500  0.000
Mo  0.000  0.000  0.500
Mo  0.500  0.000  0.000
Ga  0.000  0.000  0.000
La  0.500  0.500  0.500



No. 4
Here is crystalline PmPr5Y at its relaxed geometry from the Alexandria database. Energies are from GGA-PBE.

Size of the total moment = 0.00 μB/cell
Symmetry = C2/c (15)
E_form = 0.16 eV per atom

a b c (Å): 7.339 7.302 12.268
angles (deg): 100.00 72.60 125.48
Element x y z (fractional)
Pm  0.348  0.250  0.304
Pm  0.652  0.750  0.696
Pr  0.215  0.258  0.058
Pr  0.231  0.518  0.555
Pr  0.374  0.750  0.251
Pr  0.213  0.982  0.555
Pr  0.272  0.758  0.942
Pr  0.728  0.242  0.058
Pr  0.787  0.018  0.445
Pr  0.626  0.250  0.749
Pr  0.769  0.482  0.445
Pr  0.785  0.742  0.942
Y  0.098  0.250  0.803
Y  0.902  0.750  0.197



No. 5
Here is crystalline LuBiPd2 at its relaxed geometry from the Alexandria database. Energies are from GGA-PBE.

Size of the total moment = 0.00 μB/cell
Symmetry = P4/mmm (123)
E_form = -0.65 eV per atom

a b c (Å): 3.911 4.583 4.583
angles (deg): 90.00 90.00 90.00
Element x y z (fractional)
Lu  0.500  0.500  0.500
Bi  0.500  0.000  0.000
Pd  0.000  0.000  0.500
Pd  0.000  0.500  0.000



No. 6
Here is crystalline LiY2HoCd4 at its relaxed geometry from the Alexandria database. Energies are from GGA-PBE.

Size of the total moment = 0.00 μB/cell
Symmetry = R-3m (166)
E_form = -0.30 eV per atom

a b c (Å): 5.199 5.199 9.011
angles (deg): 73.23 73.23 60.00
Element x y z (fractional)
Li  0.500  0.500  0.500
Y  0.752  0.752  0.745
Y  0.248  0.248  0.255
Ho  0.000  0.000  0.000
Cd  0.378  0.378  0.865
Cd  0.874  0.874  0.379
Cd  0.126  0.126  0.621
Cd  0.622  0.622  0.135



No. 7
Here is crystalline SrY2ScTc at its relaxed geometry from the Alexandria database. Energies are from GGA-PBE.

Size of the total moment = 0.00 μB/cell
Symmetry = P4/mmm (123)
E_form = 0.06 eV per atom

a b c (Å): 5.500 5.500 5.212
angles (deg): 90.00 90.00 90.00
Element x y z (fractional)
Y  0.000  0.500  0.000
Y  0.500  0.000  0.000
Sr  0.500  0.500  0.500
Sc  0.000  0.000  0.500
Tc  0.000  0.000  0.000



No. 8
Here is crystalline YIn2Se4 at its relaxed geometry from the Alexandria database. Energies are from GGA-PBE.

Size of the total moment = 0.00 μB/cell
Symmetry = P-42m (111)
Formation energy (no corrections) = -0.807 eV per atom

a b c (Å): 6.101 6.101 6.367
angles (deg): 90.00 90.00 90.00
Element x y z (fractional)
Y  0.000  0.000  0.000
In  0.500  0.000  0.500
In  0.000  0.500  0.500
Se  0.735  0.265  0.756
Se  0.265  0.265  0.244
Se  0.265  0.735  0.756
Se  0.735  0.735  0.244